Record 1
# TiMnCr2 | the Alexandria database | PBE | relaxed
# * offset from the most stable computed form: 0 meV per atom
# * total energy: -145.468 eV per cell
# * mass density: 7.011 g/cm3
data_TiMnCr2
_space_group_name_H-M_alt 'F m -3 m'
_space_group_IT_number 225
_space_group_name_Hall '-F 4 2 3'
_cell_length_a 5.808
_cell_length_b 5.808
_cell_length_c 5.808
_cell_angle_alpha 90.00
_cell_angle_beta 90.00
_cell_angle_gamma 90.00
loop_
_atom_site_label
_atom_site_type_symbol
_atom_site_fract_x
_atom_site_fract_y
_atom_site_fract_z
_atom_site_occupancy
Ti1 Ti 0.000 0.000 0.000 1
Mn1 Mn 0.000 0.000 0.500 1
Cr1 Cr 0.250 0.250 0.250 1

***

Record 2
# TiMn3Cr | the Alexandria database | PBE | relaxed
# * offset from the most stable computed form: 0 meV per atom
# * total energy: -41.039 eV per cell
# * mass density: 5.850 g/cm3
data_TiMn3Cr
_space_group_name_H-M_alt 'P m -3 m'
_space_group_IT_number 221
_space_group_name_Hall '-P 4 2 3'
_cell_length_a 4.220
_cell_length_b 4.220
_cell_length_c 4.220
_cell_angle_alpha 90.00
_cell_angle_beta 90.00
_cell_angle_gamma 90.00
loop_
_atom_site_label
_atom_site_type_symbol
_atom_site_fract_x
_atom_site_fract_y
_atom_site_fract_z
_atom_site_occupancy
Ti1 Ti 0.000 0.000 0.000 1
Mn1 Mn 0.000 0.500 0.500 1
Cr1 Cr 0.500 0.500 0.500 1

***

Record 3
# TiMnCr2 | the Alexandria database | PBE | relaxed
# * offset from the most stable computed form: 14 meV per atom
# * total energy: -36.312 eV per cell
# * mass density: 6.905 g/cm3
data_TiMnCr2
_space_group_name_H-M_alt 'P 4/m m m'
_space_group_IT_number 123
_space_group_name_Hall '-P 4 2'
_cell_length_a 2.896
_cell_length_b 2.896
_cell_length_c 5.930
_cell_angle_alpha 90.00
_cell_angle_beta 90.00
_cell_angle_gamma 90.00
loop_
_atom_site_label
_atom_site_type_symbol
_atom_site_fract_x
_atom_site_fract_y
_atom_site_fract_z
_atom_site_occupancy
Ti1 Ti 0.000 0.000 0.000 1
Mn1 Mn 0.000 0.000 0.500 1
Cr1 Cr 0.500 0.500 0.267 1

***

Record 4
# TiMn3Cr | the Alexandria database | PBE | relaxed
# * offset from the most stable computed form: 791 meV per atom
# * total energy: -37.083 eV per cell
# * mass density: 6.135 g/cm3
data_TiMn3Cr
_space_group_name_H-M_alt 'P m -3 m'
_space_group_IT_number 221
_space_group_name_Hall '-P 4 2 3'
_cell_length_a 4.153
_cell_length_b 4.153
_cell_length_c 4.153
_cell_angle_alpha 90.00
_cell_angle_beta 90.00
_cell_angle_gamma 90.00
loop_
_atom_site_label
_atom_site_type_symbol
_atom_site_fract_x
_atom_site_fract_y
_atom_site_fract_z
_atom_site_occupancy
Ti1 Ti 0.000 0.000 0.000 1
Mn1 Mn 0.000 0.000 0.500 1
Cr1 Cr 0.500 0.500 0.500 1

***

Record 5
# Ti3Mn4Cr | the Alexandria database | PBE | relaxed
# * total energy: -71.594 eV per cell
# * mass density: 6.760 g/cm3
data_Ti3Mn4Cr
_space_group_name_H-M_alt 'P 4/m m m'
_space_group_IT_number 123
_space_group_name_Hall '-P 4 2'
_cell_length_a 2.938
_cell_length_b 2.938
_cell_length_c 11.821
_cell_angle_alpha 90.00
_cell_angle_beta 90.00
_cell_angle_gamma 90.00
loop_
_atom_site_label
_atom_site_type_symbol
_atom_site_fract_x
_atom_site_fract_y
_atom_site_fract_z
_atom_site_occupancy
Ti1 Ti 0.000 0.000 0.000 1
Ti2 Ti 0.000 0.000 0.252 1
Mn1 Mn 0.500 0.500 0.129 1
Mn2 Mn 0.500 0.500 0.385 1
Cr1 Cr 0.000 0.000 0.500 1

***

Record 6
# Ti2MnCr2 | the Alexandria database | PBE | relaxed
# * total energy: -87.072 eV per cell
# * mass density: 6.028 g/cm3
data_Ti2MnCr2
_space_group_name_H-M_alt 'P 4/m b m'
_space_group_IT_number 127
_space_group_name_Hall '-P 4 2ab'
_cell_length_a 5.834
_cell_length_b 5.834
_cell_length_c 4.122
_cell_angle_alpha 90.00
_cell_angle_beta 90.00
_cell_angle_gamma 90.00
loop_
_atom_site_label
_atom_site_type_symbol
_atom_site_fract_x
_atom_site_fract_y
_atom_site_fract_z
_atom_site_occupancy
Ti1 Ti 0.174 0.326 0.000 1
Mn1 Mn 0.000 0.000 0.500 1
Cr1 Cr 0.141 0.641 0.500 1

***

Record 7
# TiMn2Cr6 | the Alexandria database | PBE | relaxed
# * total energy: -168.401 eV per cell
# * mass density: 7.331 g/cm3
data_TiMn2Cr6
_space_group_name_H-M_alt 'C 1 2/m 1'
_space_group_IT_number 12
_cell_length_a 9.137
_cell_length_b 2.865
_cell_length_c 8.619
_cell_angle_alpha 90.00
_cell_angle_beta 109.45
_cell_angle_gamma 90.00
loop_
_space_group_symop_operation_xyz
'x,y,z'
'-x,-y,-z'
'-x,y,-z'
'x,-y,z'
'x+1/2,y+1/2,z'
'-x+1/2,-y+1/2,-z'
'-x+1/2,y+1/2,-z'
'x+1/2,-y+1/2,z'
loop_
_atom_site_label
_atom_site_type_symbol
_atom_site_fract_x
_atom_site_fract_y
_atom_site_fract_z
_atom_site_occupancy
Ti1 Ti 0.000 0.000 0.000 1
Mn1 Mn 0.171 0.500 0.229 1
Cr1 Cr 0.002 0.000 0.665 1
Cr2 Cr 0.167 0.500 0.553 1
Cr3 Cr 0.169 0.500 0.883 1

***

Record 8
# TiMnCr2 | the Alexandria database | PBE | relaxed
# * offset from the most stable computed form: 494 meV per atom
# * total energy: -137.558 eV per cell
# * mass density: 6.436 g/cm3
data_TiMnCr2
_space_group_name_H-M_alt 'I -4 2 d'
_space_group_IT_number 122
_space_group_name_Hall 'I -4 2bw'
_cell_length_a 6.571
_cell_length_b 6.571
_cell_length_c 4.942
_cell_angle_alpha 90.00
_cell_angle_beta 90.00
_cell_angle_gamma 90.00
loop_
_atom_site_label
_atom_site_type_symbol
_atom_site_fract_x
_atom_site_fract_y
_atom_site_fract_z
_atom_site_occupancy
Ti1 Ti 0.000 0.000 0.000 1
Mn1 Mn 0.000 0.000 0.500 1
Cr1 Cr 0.214 0.250 0.625 1

***

Record 9
# Ti3MnCr | the Alexandria database | PBE | relaxed
# * offset from the most stable computed form: 165 meV per atom
# * total energy: -37.818 eV per cell
# * mass density: 4.858 g/cm3
data_Ti3MnCr
_space_group_name_H-M_alt 'P m -3 m'
_space_group_IT_number 221
_space_group_name_Hall '-P 4 2 3'
_cell_length_a 4.408
_cell_length_b 4.408
_cell_length_c 4.408
_cell_angle_alpha 90.00
_cell_angle_beta 90.00
_cell_angle_gamma 90.00
loop_
_atom_site_label
_atom_site_type_symbol
_atom_site_fract_x
_atom_site_fract_y
_atom_site_fract_z
_atom_site_occupancy
Ti1 Ti 0.000 0.000 0.500 1
Mn1 Mn 0.500 0.500 0.500 1
Cr1 Cr 0.000 0.000 0.000 1

***

Record 10
# TiMnVCr | the Alexandria database | PBE | relaxed
# * total energy: -36.353 eV per cell
# * mass density: 6.670 g/cm3
data_TiMnVCr
_space_group_name_H-M_alt 'P 4 m m'
_space_group_IT_number 99
_cell_length_a 2.935
_cell_length_b 2.935
_cell_length_c 5.947
_cell_angle_alpha 90.00
_cell_angle_beta 90.00
_cell_angle_gamma 90.00
loop_
_space_group_symop_operation_xyz
'x,y,z'
'-y,x,z'
'-x,-y,z'
'y,-x,z'
'-x,y,z'
'y,x,z'
'x,-y,z'
'-y,-x,z'
loop_
_atom_site_label
_atom_site_type_symbol
_atom_site_fract_x
_atom_site_fract_y
_atom_site_fract_z
_atom_site_occupancy
Ti1 Ti 0.000 0.000 0.000 1
Mn1 Mn 0.500 0.500 0.258 1
V1 V 0.000 0.000 0.493 1
Cr1 Cr 0.500 0.500 0.735 1

***

Record 11
# TiMnZnCr | the Alexandria database | PBE | relaxed
# * total energy: -110.040 eV per cell
# * mass density: 6.605 g/cm3
data_TiMnZnCr
_space_group_name_H-M_alt 'F -4 3 m'
_space_group_IT_number 216
_space_group_name_Hall 'F -4 2 3'
_cell_length_a 6.050
_cell_length_b 6.050
_cell_length_c 6.050
_cell_angle_alpha 90.00
_cell_angle_beta 90.00
_cell_angle_gamma 90.00
loop_
_atom_site_label
_atom_site_type_symbol
_atom_site_fract_x
_atom_site_fract_y
_atom_site_fract_z
_atom_site_occupancy
Ti1 Ti 0.000 0.000 0.000 1
Mn1 Mn 0.250 0.250 0.750 1
Zn1 Zn 0.000 0.000 0.500 1
Cr1 Cr 0.250 0.250 0.250 1

***

Record 12
# ZrTiMnCr | the Alexandria database | PBE | relaxed
# * total energy: -140.408 eV per cell
# * mass density: 6.617 g/cm3
data_ZrTiMnCr
_space_group_name_H-M_alt 'F -4 3 m'
_space_group_IT_number 216
_space_group_name_Hall 'F -4 2 3'
_cell_length_a 6.274
_cell_length_b 6.274
_cell_length_c 6.274
_cell_angle_alpha 90.00
_cell_angle_beta 90.00
_cell_angle_gamma 90.00
loop_
_atom_site_label
_atom_site_type_symbol
_atom_site_fract_x
_atom_site_fract_y
_atom_site_fract_z
_atom_site_occupancy
Zr1 Zr 0.000 0.000 0.000 1
Ti1 Ti 0.000 0.000 0.500 1
Mn1 Mn 0.250 0.250 0.250 1
Cr1 Cr 0.250 0.250 0.750 1

***

Record 13
# MnTlCr2 | the Alexandria database | PBE | relaxed
# * offset from the most stable computed form: 495 meV per atom
# * total energy: -108.865 eV per cell
# * mass density: 9.829 g/cm3
data_MnTlCr2
_space_group_name_H-M_alt 'I -4 2 d'
_space_group_IT_number 122
_space_group_name_Hall 'I -4 2bw'
_cell_length_a 6.860
_cell_length_b 6.860
_cell_length_c 5.217
_cell_angle_alpha 90.00
_cell_angle_beta 90.00
_cell_angle_gamma 90.00
loop_
_atom_site_label
_atom_site_type_symbol
_atom_site_fract_x
_atom_site_fract_y
_atom_site_fract_z
_atom_site_occupancy
Mn1 Mn 0.000 0.000 0.000 1
Tl1 Tl 0.000 0.000 0.500 1
Cr1 Cr 0.181 0.750 0.125 1

***

Record 14
# MnTlCr | the Alexandria database | PBE | relaxed
# * offset from the most stable computed form: 142 meV per atom
# * total energy: -19.345 eV per cell
# * mass density: 9.676 g/cm3
data_MnTlCr
_space_group_name_H-M_alt 'P 3 m 1'
_space_group_IT_number 156
_cell_length_a 4.4864
_cell_length_b 4.4864
_cell_length_c 3.0651
_cell_angle_alpha 90.00
_cell_angle_beta 90.00
_cell_angle_gamma 120.00
loop_
_space_group_symop_operation_xyz
'x,y,z'
'-y,x-y,z'
'-x+y,-x,z'
'-y,-x,z'
'-x+y,y,z'
'x,x-y,z'
loop_
_atom_site_label
_atom_site_type_symbol
_atom_site_fract_x
_atom_site_fract_y
_atom_site_fract_z
_atom_site_occupancy
Mn1 Mn 0.0000 0.0000 0.0000 1
Tl1 Tl 0.6667 0.3333 0.3647 1
Cr1 Cr 0.3333 0.6667 0.7581 1